Record 1
Density functional theory data (GGA-PBE) for a relaxed structure of LaFeOs2.

Summary:
The polymorph energy (0 for the lowest one) comes out at 285 meV per atom. The calculation puts the formation energy at 0.36 eV per atom. The density of states at the Fermi level comes out at 1.14 states/eV/atom.

Geometry as POSCAR:
```
LaFeOs2
1.0
2.8524 0.0000 0.0000
0.0000 3.6444 0.0000
0.0000 0.0000 7.0346
La Fe Os
1 1 2
Cartesian
0.0000 0.0000 0.0000
1.4262 1.8222 4.8316
0.0000 0.0000 3.5066
1.4262 1.8222 2.3113
```

---

Record 2
Density functional theory data (GGA-PBE) for a relaxed structure of SrLiW.

Summary:
The polymorph energy (0 for the lowest one) comes out at 134 meV per atom. The calculation puts the formation energy at 1.12 eV per atom. The density of states at the Fermi level comes out at 1.12 states/eV/atom.

Geometry as POSCAR:
```
SrLiW
1.0
-1.4259 2.0418 5.6649
1.4259 -2.0418 5.6649
1.4259 2.0418 -5.6649
Sr Li W
1 1 1
Cartesian
0.0000 0.0000 0.0000
0.0000 0.0000 3.3924
0.0000 0.0000 7.8945
```